(1)
# Eu3CdS

Eu3CdS after structural relaxation (PBE-GGA, the Alexandria database).

Summary:
- DFT total energy: -8.00 eV per atom
- SG: No. 221

Unit cell a=5.563 b=5.563 c=5.563 alpha=90.00 beta=90.00 gamma=90.00
Site moments in Bohr magnetons follow the coordinates.
Atoms (fractional coordinates):
1 Eu 0.500 0.000 0.000  7.00
2 Eu 0.000 0.000 0.500  7.00
3 Eu 0.000 0.500 0.000  7.00
4 S 0.000 0.000 0.000  -0.09
5 Cd 0.500 0.500 0.500  0.05


(2)
# TaRe3Ni

TaRe3Ni after structural relaxation (PBE-GGA, the Alexandria database).

Summary:
- ΔH_f (0 K): 1445 meV/atom
- SG: No. 221
- Energy relative to the lowest polymorph listed for this composition: 0.0 meV per atom

Unit cell a=4.404 b=4.404 c=4.404 alpha=90.00 beta=90.00 gamma=90.00
Atoms (fractional coordinates):
1 Ni 0.000 0.000 0.000
2 Re 0.000 0.500 0.000
3 Re 0.500 0.000 0.000
4 Re 0.000 0.000 0.500
5 Ta 0.500 0.500 0.500


(3)
# CsUZn2F8

CsUZn2F8 after structural relaxation (PBE-GGA, the Alexandria database).

Summary:
- DFT total energy: -5.16 eV per atom
- SG: No. 148

Unit cell a=5.693 b=5.693 c=8.843 alpha=71.22 beta=71.22 gamma=60.00
Site moments in Bohr magnetons follow the coordinates.
Atoms (fractional coordinates):
1 F 0.831 0.831 0.506  0.00
2 F 0.026 0.400 0.836  0.00
3 F 0.600 0.261 0.164  0.00
4 F 0.169 0.169 0.494  0.00
5 F 0.739 0.026 0.836  0.00
6 F 0.974 0.600 0.164  0.00
7 F 0.261 0.974 0.164  0.00
8 F 0.400 0.739 0.836  0.00
9 Cs 0.500 0.500 0.500  0.00
10 U 0.000 0.000 0.000  2.79
11 Zn 0.244 0.244 0.267  0.01
12 Zn 0.756 0.756 0.733  0.01


(4)
# NaS2N2

NaS2N2 after structural relaxation (PBE-GGA, the Alexandria database).

Summary:
- SG: No. 2
- Energy relative to the lowest polymorph listed for this composition: 0.0 meV per atom

Unit cell a=3.374 b=10.992 c=9.493 alpha=77.59 beta=73.01 gamma=23.08
Atoms (fractional coordinates):
1 S 0.185 0.469 0.887
2 S 0.815 0.531 0.113
3 N 0.677 0.923 0.544
4 N 0.323 0.077 0.456
5 Na 0.000 0.000 0.000


(5)
# Na2SrAgCl5

Na2SrAgCl5 after structural relaxation (PBE-GGA, the Alexandria database).

Summary:
- DFT total energy: -3.50 eV per atom
- SG: No. 36

Unit cell a=4.167 b=9.241 c=14.422 alpha=90.00 beta=90.00 gamma=103.03
Atoms (fractional coordinates):
1 Na 0.046 0.091 0.665
2 Na 0.139 0.278 0.261
3 Na 0.861 0.722 0.761
4 Na 0.954 0.909 0.165
5 Cl 0.527 0.054 0.278
6 Cl 0.750 0.501 0.889
7 Cl 0.473 0.946 0.778
8 Cl 0.608 0.215 0.569
9 Cl 0.716 0.431 0.162
10 Cl 0.392 0.785 0.069
11 Cl 0.072 0.144 0.028
12 Cl 0.250 0.499 0.389
13 Cl 0.928 0.856 0.528
14 Cl 0.284 0.569 0.662
15 Sr 0.237 0.473 0.023
16 Sr 0.763 0.527 0.523
17 Ag 0.508 0.017 0.949
18 Ag 0.492 0.983 0.449


(6)
# Pr6BiPb2Se3

Pr6BiPb2Se3 after structural relaxation (PBE-GGA, the Alexandria database).

Summary:
- DFT total energy: -5.46 eV per atom
- SG: No. 12

Unit cell a=4.467 b=8.900 c=9.945 alpha=102.41 beta=102.98 gamma=90.00
Atoms (fractional coordinates):
1 Pr 0.001 0.741 0.003
2 Pr 0.336 0.410 0.672
3 Pr 0.664 0.590 0.328
4 Pr 0.330 0.921 0.659
5 Pr 0.999 0.259 0.997
6 Pr 0.670 0.079 0.341
7 Se 0.834 0.167 0.668
8 Se 0.166 0.833 0.332
9 Se 0.500 0.500 0.000
10 Pb 0.167 0.333 0.334
11 Pb 0.833 0.667 0.666
12 Bi 0.500 0.000 0.000